The following is a DFT calculation (GGA+U) of a relaxed InCoI2O crystal.

Calculated volume ... 27.18 A^3/atom
Space-group type ... P4/mmm, No. 123
Total energy ... -3.047 eV/atom
DOS(E_F) ... 0.822 states/eV per atom
Total magnetization ... 2.7 Bohr magnetons per cell
Crystal system ... tetragonal

a = 5.8701 Å, b = 5.8701 Å, c = 3.9435 Å
α = 90.00°, β = 90.00°, γ = 90.00°
Atoms (fractional coordinates):
In  0.0000  0.0000  0.0000
Co  0.5000  0.5000  0.5000
I  0.0000  0.5000  0.0000
I  0.5000  0.0000  0.0000
O  0.0000  0.0000  0.5000